(1)
Material: Tb6Y2Er5
Method: DFT, PBE-GGA
State: optimized geometry

Geometry as CIF:
```
data_Tb6Y2Er5
_cell_length_a 11.620
_cell_length_b 20.105
_cell_length_c 3.570
_cell_angle_alpha 90.00
_cell_angle_beta 90.00
_cell_angle_gamma 90.00
_symmetry_space_group_name_H-M 'P b a m'
_symmetry_Int_Tables_number 55
_symmetry_space_group_name_Hall '-P 2 2ab'
loop_
_atom_site_label
_atom_site_type_symbol
_atom_site_fract_x
_atom_site_fract_y
_atom_site_fract_z
Tb1 Tb 0.058 0.080 0.000
Tb2 Tb 0.082 0.367 0.000
Tb3 Tb 0.173 0.632 0.500
Y1 Y 0.164 0.789 0.000
Er1 Er 0.000 0.500 0.500
Er2 Er 0.095 0.225 0.500
Er3 Er 0.199 0.948 0.500
```

Results
For the total magnetization, the calculation gives 0.0 Bohr magnetons per cell. The density of states at the Fermi level is 15.9 states/eV/f.u. The value obtained for the raw total energy is -4.79 eV per atom. For the formation energy, the calculation gives 0.098 eV per atom.

***

(2)
Material: Tb7YEr12
Method: DFT, PBE-GGA
State: optimized geometry

Geometry as CIF:
```
data_Tb7YEr12
_cell_length_a 12.7292
_cell_length_b 12.7292
_cell_length_c 13.5600
_cell_angle_alpha 90.00
_cell_angle_beta 90.00
_cell_angle_gamma 120.00
_symmetry_space_group_name_H-M 'R -3'
_symmetry_Int_Tables_number 148
_symmetry_space_group_name_Hall '-R 3'
loop_
_atom_site_label
_atom_site_type_symbol
_atom_site_fract_x
_atom_site_fract_y
_atom_site_fract_z
Tb1 Tb 0.0000 0.0000 0.0000
Tb2 Tb 0.0684 0.8677 0.3458
Y1 Y 0.0000 0.0000 0.5000
Er1 Er 0.9999 0.4356 0.7507
Er2 Er 0.0684 0.2011 0.8498
```

Results
For the total magnetization, the calculation gives 0.0 Bohr magnetons per cell. The calculation puts the energy above the lowest structure with this stoichiometry at 0 kJ/mol of formula units. The density of states at the Fermi level is 17.5 states/eV/f.u. The value obtained for the raw total energy is -4.38 eV per atom. For the formation energy, the calculation gives 0.303 eV per atom.

***

(3)
Material: TbY3Er4
Method: DFT, PBE-GGA
State: optimized geometry

Geometry as CIF:
```
data_TbY3Er4
_cell_length_a 11.197
_cell_length_b 7.247
_cell_length_c 6.261
_cell_angle_alpha 90.00
_cell_angle_beta 90.00
_cell_angle_gamma 90.00
_symmetry_space_group_name_H-M 'P m n 21'
_symmetry_Int_Tables_number 31
_symmetry_space_group_name_Hall 'P 2ac -2'
loop_
_atom_site_label
_atom_site_type_symbol
_atom_site_fract_x
_atom_site_fract_y
_atom_site_fract_z
Tb1 Tb 0.000 0.128 0.000
Y1 Y 0.000 0.873 0.499
Y2 Y 0.250 0.127 0.336
Er1 Er 0.000 0.377 0.503
Er2 Er 0.000 0.623 0.003
Er3 Er 0.250 0.377 0.834
```

Results
For the total magnetization, the calculation gives 0.0 Bohr magnetons per cell. The calculation puts the energy above the lowest structure with this stoichiometry at 0 kJ/mol of formula units. The density of states at the Fermi level is 13.8 states/eV/f.u. The value obtained for the raw total energy is -5.28 eV per atom. For the formation energy, the calculation gives 0.001 eV per atom.

***

(4)
Material: Tb12Y2Er
Method: DFT, PBE-GGA
State: optimized geometry

Geometry as CIF:
```
data_Tb12Y2Er
_cell_length_a 6.415
_cell_length_b 6.415
_cell_length_c 24.961
_cell_angle_alpha 90.00
_cell_angle_beta 90.00
_cell_angle_gamma 90.00
_symmetry_space_group_name_H-M 'P 4/n b m'
_symmetry_Int_Tables_number 125
loop_
_symmetry_equiv_pos_as_xyz
'x,y,z'
'-x,-y,-z'
'-y+1/2,x,z'
'y+1/2,-x,-z'
'-x+1/2,-y+1/2,z'
'x+1/2,y+1/2,-z'
'y,-x+1/2,z'
'-y,x+1/2,-z'
'x,-y+1/2,-z'
'-x,y+1/2,z'
'-y+1/2,-x+1/2,-z'
'y+1/2,x+1/2,z'
'-x+1/2,y,-z'
'x+1/2,-y,z'
'y,x,-z'
'-y,-x,z'
loop_
_atom_site_label
_atom_site_type_symbol
_atom_site_fract_x
_atom_site_fract_y
_atom_site_fract_z
Tb1 Tb 0.065 0.565 0.115
Tb2 Tb 0.082 0.582 0.439
Tb3 Tb 0.250 0.250 0.215
Tb4 Tb 0.250 0.250 0.339
Y1 Y 0.250 0.750 0.273
Er1 Er 0.250 0.750 0.000
```

Results
For the total magnetization, the calculation gives 0.0 Bohr magnetons per cell. The density of states at the Fermi level is 19.8 states/eV/f.u. The value obtained for the raw total energy is -4.55 eV per atom. For the formation energy, the calculation gives 0.325 eV per atom.

***

(5)
Material: Tb5Y6Er2
Method: DFT, PBE-GGA
State: optimized geometry

Geometry as CIF:
```
data_Tb5Y6Er2
_cell_length_a 11.643
_cell_length_b 20.309
_cell_length_c 3.570
_cell_angle_alpha 90.00
_cell_angle_beta 90.00
_cell_angle_gamma 90.00
_symmetry_space_group_name_H-M 'P b a m'
_symmetry_Int_Tables_number 55
_symmetry_space_group_name_Hall '-P 2 2ab'
loop_
_atom_site_label
_atom_site_type_symbol
_atom_site_fract_x
_atom_site_fract_y
_atom_site_fract_z
Tb1 Tb 0.000 0.000 0.000
Tb2 Tb 0.088 0.272 0.000
Tb3 Tb 0.199 0.550 0.000
Y1 Y 0.058 0.418 0.500
Y2 Y 0.084 0.131 0.500
Y3 Y 0.173 0.863 0.000
Er1 Er 0.167 0.709 0.500
```

Results
For the total magnetization, the calculation gives 0.0 Bohr magnetons per cell. The density of states at the Fermi level is 16.3 states/eV/f.u. The value obtained for the raw total energy is -5.37 eV per atom. For the formation energy, the calculation gives 0.100 eV per atom.

***

(6)
Material: TbY6Er3
Method: DFT, PBE-GGA
State: optimized geometry

Geometry as CIF:
```
data_TbY6Er3
_cell_length_a 10.961
_cell_length_b 18.909
_cell_length_c 6.228
_cell_angle_alpha 90.00
_cell_angle_beta 90.00
_cell_angle_gamma 90.00
_symmetry_space_group_name_H-M 'C m c 21'
_symmetry_Int_Tables_number 36
_symmetry_space_group_name_Hall 'C 2c -2'
loop_
_atom_site_label
_atom_site_type_symbol
_atom_site_fract_x
_atom_site_fract_y
_atom_site_fract_z
Tb1 Tb 0.000 0.206 0.000
Y1 Y 0.000 0.048 0.756
Y2 Y 0.000 0.281 0.499
Y3 Y 0.164 0.455 0.383
Y4 Y 0.246 0.291 0.205
Er1 Er 0.000 0.389 0.920
Er2 Er 0.172 0.109 0.299
```

Results
For the total magnetization, the calculation gives 0.0 Bohr magnetons per cell. The calculation puts the energy above the lowest structure with this stoichiometry at 26 kJ/mol of formula units. The density of states at the Fermi level is 14.9 states/eV/f.u. The value obtained for the raw total energy is -5.57 eV per atom. For the formation energy, the calculation gives 0.145 eV per atom.

***

(7)
Material: TbY4Er3
Method: DFT, PBE-GGA
State: optimized geometry

Geometry as CIF:
```
data_TbY4Er3
_cell_length_a 23.770
_cell_length_b 3.563
_cell_length_c 6.166
_cell_angle_alpha 90.00
_cell_angle_beta 105.02
_cell_angle_gamma 90.00
_symmetry_space_group_name_H-M 'C 1 2/m 1'
_symmetry_Int_Tables_number 12
_symmetry_space_group_name_Hall '-C 2y'
loop_
_atom_site_label
_atom_site_type_symbol
_atom_site_fract_x
_atom_site_fract_y
_atom_site_fract_z
Tb1 Tb 0.000 0.000 0.000
Y1 Y 0.124 0.000 0.790
Y2 Y 0.249 0.000 0.251
Er1 Er 0.000 0.500 0.500
Er2 Er 0.124 0.500 0.291
```

Results
For the total magnetization, the calculation gives 0.0 Bohr magnetons per cell. The calculation puts the energy above the lowest structure with this stoichiometry at 4 kJ/mol of formula units. The density of states at the Fermi level is 11.8 states/eV/f.u. The value obtained for the raw total energy is -5.52 eV per atom. For the formation energy, the calculation gives 0.007 eV per atom.

***

(8)
Material: Tb3Y2Er6
Method: DFT, PBE-GGA
State: optimized geometry

Geometry as CIF:
```
data_Tb3Y2Er6
_cell_length_a 4.692
_cell_length_b 4.692
_cell_length_c 33.203
_cell_angle_alpha 90.00
_cell_angle_beta 90.00
_cell_angle_gamma 90.00
_symmetry_space_group_name_H-M 'I 4/m m m'
_symmetry_Int_Tables_number 139
_symmetry_space_group_name_Hall '-I 4 2'
loop_
_atom_site_label
_atom_site_type_symbol
_atom_site_fract_x
_atom_site_fract_y
_atom_site_fract_z
Tb1 Tb 0.000 0.000 0.000
Tb2 Tb 0.000 0.000 0.201
Y1 Y 0.000 0.000 0.454
Er1 Er 0.000 0.000 0.304
Er2 Er 0.000 0.500 0.122
```

Results
For the total magnetization, the calculation gives 0.0 Bohr magnetons per cell. The density of states at the Fermi level is 18.2 states/eV/f.u. The value obtained for the raw total energy is -4.64 eV per atom. For the formation energy, the calculation gives 0.287 eV per atom.